# 1
VASP calculation (GGA-PBE) on a geometry-optimized Y4HoCo structure.

Properties
N(E_F): 1.458 states/eV/atom
raw total energy: -37.70 eV per formula unit
symmetry: Immm (71)
crystal system: orthorhombic
formation energy from the elements: -0.03 eV/atom

Cell: 5.8329 7.3220 9.3268 Å, 113.11 108.22 90.00°
Positions (direct):
Y  0.8247  0.3249  0.6498
Co  0.3086  0.5002  0.0004
Y  0.3805  0.1275  0.7609
Y  0.0000  0.2295  0.0000
Y  0.6195  0.8725  0.2391
Y  0.0000  0.7705  0.0000
Ho  0.1960  0.1961  0.3923
Y  0.6195  0.3665  0.2391
Y  0.3805  0.6335  0.7609
Ho  0.8040  0.8039  0.6077
Y  0.1753  0.6751  0.3502
Co  0.6914  0.4998  0.9996


# 2
VASP calculation (GGA-PBE) on a geometry-optimized Sr2TlRhBr structure.

Properties
N(E_F): 0.499 states/eV/atom
raw total energy: -18.02 eV per formula unit
symmetry: P4/mmm (123)
energy relative to the elements, uncorrected: -0.65 eV per atom
crystal system: tetragonal

Cell: 5.8276 5.8276 5.1964 Å, 90.00 90.00 90.00°
Positions (direct):
Sr  0.0000  0.5000  0.0000
Sr  0.5000  0.0000  0.0000
Rh  0.0000  0.0000  0.0000
Br  0.5000  0.5000  0.5000
Tl  0.0000  0.0000  0.5000


# 3
VASP calculation (GGA-PBE) on a geometry-optimized NaRhN2 structure.

Properties
N(E_F): 0.618 states/eV/atom
raw total energy: -21.12 eV per formula unit
symmetry: R-3m (166)
energy relative to the elements, uncorrected: 1.05 eV per atom
crystal system: trigonal
relative energy among the computed polymorphs: 649.1 meV per atom

Cell: 7.0104 7.0104 7.0104 Å, 26.63 26.63 26.63°
Positions (direct):
Rh  0.0000  0.0000  0.0000
N  0.0872  0.0872  0.0872
N  0.9128  0.9128  0.9128
Na  0.5000  0.5000  0.5000


# 4
VASP calculation (GGA-PBE) on a geometry-optimized YHoIn2 structure.

Properties
N(E_F): 0.435 states/eV/atom
raw total energy: -18.42 eV per formula unit
symmetry: Fm-3m (225)
crystal system: cubic
formation energy from the elements: -0.48 eV/atom

Cell: 5.3099 5.3098 5.3098 Å, 60.00 60.00 60.00°
Positions (direct):
Y  0.7500  0.7500  0.7500
In  0.5000  0.5000  0.5000
In  0.0000  0.0000  0.0000
Ho  0.2500  0.2500  0.2500


# 5
VASP calculation (GGA-PBE) on a geometry-optimized K3Na4Pb structure.

Properties
N(E_F): 0.608 states/eV/atom
raw total energy: -12.28 eV per formula unit
symmetry: Imm2 (44)
crystal system: orthorhombic
formation energy from the elements: 0.00 eV/atom
relative energy among the computed polymorphs: 21.4 meV per atom

Cell: 7.2127 7.9064 8.8175 Å, 116.64 114.14 90.00°
Positions (direct):
Na  0.7545  0.8614  0.0000
K  0.2592  0.4137  0.5185
Na  0.6296  0.3215  0.2592
Na  0.2455  0.8614  0.0000
K  0.7408  0.8952  0.4815
Pb  0.5000  0.5205  0.0000
Na  0.3704  0.0623  0.7408
K  0.0000  0.4130  0.0000


# 6
VASP calculation (GGA-PBE) on a geometry-optimized Tb3PaIr3 structure.

Properties
N(E_F): 0.691 states/eV/atom
raw total energy: -55.30 eV per formula unit
symmetry: R-3 (148)
crystal system: trigonal
formation energy from the elements: -0.76 eV/atom

Cell: 7.5529 7.5529 7.5529 Å, 66.68 66.68 66.68°
Positions (direct):
Pa  0.3262  0.3262  0.3262
Tb  0.3737  0.1218  0.8208
Tb  0.1792  0.6263  0.8782
Tb  0.1218  0.8208  0.3737
Ir  0.9498  0.5588  0.3113
Pa  0.6738  0.6738  0.6738
Ir  0.4412  0.6887  0.0502
Tb  0.8782  0.1792  0.6263
Ir  0.0502  0.4412  0.6887
Ir  0.6887  0.0502  0.4412
Tb  0.6263  0.8782  0.1792
Tb  0.8208  0.3737  0.1218
Ir  0.3113  0.9498  0.5588
Ir  0.5588  0.3113  0.9498